{
  "formula": "Th3Zn2Pd7",
  "functional": "PBE",
  "state": "relaxed",
  "lattice": [[-1.569, 1.202, 3.568], [-2.163, -3.594, 0.260], [11.749, -4.064, 6.535]],
  "species": ["Th", "Th", "Th", "Zn", "Zn", "Pd", "Pd", "Pd", "Pd", "Pd", "Pd", "Pd"],
  "fractional_positions": [[0.500, 0.500, 0.000], [0.000, 0.185, 0.361], [0.000, 0.815, 0.639], [0.500, 0.635, 0.262], [0.500, 0.365, 0.738], [0.500, 0.719, 0.440], [0.500, 0.281, 0.560], [0.000, 0.580, 0.153], [0.000, 0.000, 0.000], [0.000, 0.420, 0.847], [0.500, 0.919, 0.844], [0.500, 0.081, 0.156]],
  "final_energy_ev_per_atom": -5.803,
  "delta_e_f_ev_per_atom": -0.71,
  "m_tot_mub_per_fu": 0.0
}